Density functional theory data (PBE-GGA) for a relaxed K2ScTl crystal.

abc: 8.120 8.120 8.120
angles: 90.00 90.00 90.00
Space group F-43m (No. 216)
Inequivalent atoms, fractional coordinates:
1 K 0.000 0.000 0.000 [4 per cell]
2 K 0.250 0.250 0.250 [4 per cell]
3 Sc 0.250 0.250 0.750 [4 per cell]
4 Tl 0.000 0.000 0.500 [4 per cell]

Output
VASP energy = -2.38 eV/atom
DOS(E_F) = 1.6 states/eV/f.u.
energy relative to the elements = 0.34 eV/atom
crystal system = cubic


Density functional theory data (PBE-GGA) for a relaxed K2ScTl crystal.

abc: 3.657 4.483 10.349
angles: 90.00 90.53 90.00
Space group Pm (No. 6)
Inequivalent atoms, fractional coordinates:
1 K 0.000 0.000 0.000 [1 per cell]
2 K 0.491 0.500 0.629 [1 per cell]
3 Sc 0.503 0.500 0.286 [1 per cell]
4 Tl 0.005 0.000 0.362 [1 per cell]

Output
VASP energy = -2.62 eV/atom
DOS(E_F) = 2.8 states/eV/f.u.
energy relative to the elements = 0.10 eV/atom
crystal system = monoclinic


no.,volume (A^3/atom),distance to the lowest polymorph of the same formula (kcal/mol of atoms)
1,33.47,5.69
2,42.42,0.19